{"formula": "K2HfPtO4", "functional": "PBE", "state": "optimized geometry", "density_g_cm3": 4.3, "n_ef_per_ev_cell": 0.6, "raw_formation_energy_kcal_per_mol_atoms": -35.307, "e_tot_ev_per_cell": -100.5, "cell": [[-2.273, 5.072, -0.688], [-2.988, 2.557, 5.933], [8.380, 7.179, 2.447]], "species": ["Hf", "Hf", "Pt", "Pt", "K", "K", "K", "K", "O", "O", "O", "O", "O", "O", "O", "O"], "fractional_positions": [[0.000, 0.000, 0.000], [0.750, 0.500, 0.500], [0.500, 0.000, 0.000], [0.250, 0.500, 0.500], [0.806, 0.000, 0.388], [0.194, 0.000, 0.612], [0.556, 0.500, 0.888], [0.944, 0.500, 0.112], [0.156, 0.211, 0.947], [0.633, 0.211, 0.053], [0.117, 0.289, 0.447], [0.854, 0.711, 0.553], [0.314, 0.789, 0.053], [0.436, 0.711, 0.447], [0.594, 0.289, 0.553], [0.896, 0.789, 0.947]]}